Density functional theory data (GGA-PBE) for PrNpIn6 after structural relaxation.

Results
- N(E_F) (states/eV/cell) = 13.0
- energy of formation from the pure elements (meV per atom) = -238.6
- space group = P4/mmm (123)

a = 4.679 Å, b = 4.679 Å, c = 9.405 Å
α = 90.00°, β = 90.00°, γ = 90.00°
Sites, in units of the cell vectors:
1 Pr 0.000 0.000 0.000
2 Np 0.000 0.000 0.500
3 In 0.500 0.500 0.000
4 In 0.500 0.500 0.500
5 In 0.500 0.000 0.256
6 In 0.500 0.000 0.744
7 In 0.000 0.500 0.256
8 In 0.000 0.500 0.744

***

Density functional theory data (GGA-PBE) for PrNpIn4 after structural relaxation.

Results
- N(E_F) (states/eV/cell) = 15.0
- energy of formation from the pure elements (meV per atom) = -90.4
- space group = F-43m (216)

a = 6.075 Å, b = 6.075 Å, c = 6.075 Å
α = 60.00°, β = 60.00°, γ = 60.00°
Sites, in units of the cell vectors:
1 Np 0.250 0.250 0.250
2 Pr 0.000 0.000 0.000
3 In 0.625 0.625 0.125
4 In 0.625 0.125 0.625
5 In 0.625 0.625 0.625
6 In 0.125 0.625 0.625

***

Density functional theory data (GGA-PBE) for PrNpIn2Se4 after structural relaxation.

Results
- N(E_F) (states/eV/cell) = 7.8
- space group = P2/m (10)
- DFT total energy (eV/atom) = -5.6829

a = 4.254 Å, b = 8.099 Å, c = 7.384 Å
α = 72.35°, β = 90.00°, γ = 90.00°
Sites, in units of the cell vectors:
1 Pr 0.500 0.500 0.000
2 Np 0.000 0.500 0.500
3 In 0.000 0.000 0.000
4 In 0.500 0.000 0.500
5 Se 0.000 0.716 0.755
6 Se 0.000 0.284 0.245
7 Se 0.500 0.710 0.272
8 Se 0.500 0.290 0.728

***

Density functional theory data (GGA-PBE) for PrNpIn2Te4 after structural relaxation.

Results
- N(E_F) (states/eV/cell) = 7.1
- space group = P2/m (10)
- DFT total energy (eV/atom) = -5.2007

a = 4.492 Å, b = 8.524 Å, c = 7.808 Å
α = 72.29°, β = 90.00°, γ = 90.00°
Sites, in units of the cell vectors:
1 Pr 0.500 0.500 0.000
2 Np 0.000 0.500 0.500
3 In 0.000 0.000 0.000
4 In 0.500 0.000 0.500
5 Te 0.000 0.727 0.753
6 Te 0.000 0.273 0.247
7 Te 0.500 0.722 0.265
8 Te 0.500 0.278 0.735

***

Density functional theory data (GGA-PBE) for Pr2NpIn3Te6 after structural relaxation.

Results
- N(E_F) (states/eV/cell) = 6.6
- space group = C2/m (12)
- DFT total energy (eV/atom) = -4.9474

a = 7.832 Å, b = 7.832 Å, c = 8.514 Å
α = 98.83°, β = 98.83°, γ = 119.99°
Sites, in units of the cell vectors:
1 Pr 0.334 0.666 0.000
2 Pr 0.666 0.334 0.000
3 Np 0.000 0.000 0.000
4 In 0.168 0.832 0.500
5 In 0.832 0.168 0.500
6 In 0.500 0.500 0.500
7 Te 0.925 0.597 0.774
8 Te 0.748 0.748 0.227
9 Te 0.075 0.403 0.226
10 Te 0.597 0.925 0.774
11 Te 0.252 0.252 0.773
12 Te 0.403 0.075 0.226

***

Density functional theory data (GGA-PBE) for PrNp2In3Te6 after structural relaxation.

Results
- N(E_F) (states/eV/cell) = 19.9
- space group = C2/m (12)
- DFT total energy (eV/atom) = -5.4546

a = 7.751 Å, b = 7.751 Å, c = 8.545 Å
α = 98.70°, β = 98.70°, γ = 119.99°
Sites, in units of the cell vectors:
1 Pr 0.000 0.000 0.000
2 Np 0.333 0.667 0.000
3 Np 0.667 0.333 0.000
4 In 0.164 0.836 0.500
5 In 0.836 0.164 0.500
6 In 0.500 0.500 0.500
7 Te 0.925 0.584 0.776
8 Te 0.732 0.732 0.221
9 Te 0.075 0.416 0.224
10 Te 0.584 0.925 0.776
11 Te 0.268 0.268 0.779
12 Te 0.416 0.075 0.224

***

Density functional theory data (GGA-PBE) for NpIn2Pt9 after structural relaxation.

Results
- polymorph energy (0 for the lowest one) (meV/atom) = 123
- N(E_F) (states/eV/cell) = 16.4
- energy of formation from the pure elements (meV per atom) = -351.7
- space group = R-3m (166)

a = 5.405 Å, b = 5.405 Å, c = 9.251 Å
α = 73.02°, β = 73.02°, γ = 60.00°
Sites, in units of the cell vectors:
1 Np 0.000 0.000 0.000
2 In 0.860 0.860 0.420
3 In 0.140 0.140 0.580
4 Pt 0.666 0.666 0.001
5 Pt 0.334 0.334 0.999
6 Pt 0.500 0.500 0.500
7 Pt 0.413 0.413 0.256
8 Pt 0.919 0.413 0.256
9 Pt 0.413 0.919 0.256
10 Pt 0.587 0.587 0.744
11 Pt 0.587 0.081 0.744
12 Pt 0.081 0.587 0.744

***

Density functional theory data (GGA-PBE) for NpInPt4 after structural relaxation.

Results
- N(E_F) (states/eV/cell) = 12.6
- energy of formation from the pure elements (meV per atom) = -555.2
- space group = F-43m (216)

a = 5.408 Å, b = 5.408 Å, c = 5.408 Å
α = 60.00°, β = 60.00°, γ = 60.00°
Sites, in units of the cell vectors:
1 Np 0.250 0.250 0.250
2 Pt 0.625 0.625 0.124
3 Pt 0.625 0.124 0.625
4 Pt 0.625 0.625 0.625
5 Pt 0.124 0.625 0.625
6 In 0.000 0.000 0.000